This record from Alexandria describes a relaxed structure of MnBe3F. The functional is GGA+U.

Total energy = -3.73 eV per atom

Cell and atoms, written as extended XYZ:
```
5
Lattice="3.572 0.000 0.000 0.000 3.572 0.000 0.000 0.000 3.572" Properties=species:S:1:pos:R:3 pbc="T T T"
Mn 0.000 0.000 0.000
Be 0.000 1.786 1.786
Be 1.786 0.000 1.786
Be 1.786 1.786 0.000
F 1.786 1.786 1.786
```